Entry a
{"formula": "Mg2MnW", "functional": "PBE", "state": "optimized geometry", "lattice_angstrom": [[2.7762, 0.0000, 0.0000], [0.0000, 2.7762, 0.0000], [0.0000, 0.0000, 8.8990]], "species": ["Mg", "Mg", "Mn", "W"], "frac_coords": [[0.0000, 0.0000, 0.0022], [0.0000, 0.0000, 0.4978], [0.5000, 0.5000, 0.2500], [0.5000, 0.5000, 0.7500]], "magmom_total_mub_per_atom": 0.894, "sg": "P4/mmm (123)", "crystal_system": "tetragonal"}

***

Entry b
{"formula": "Mg2MnW", "functional": "PBE", "state": "optimized geometry", "lattice_angstrom": [[-0.0837, -0.5959, -2.7554], [-2.1720, -1.3202, 1.2222], [-5.2190, 7.2759, -1.4150]], "species": ["Mg", "Mg", "Mn", "W"], "frac_coords": [[0.0000, 0.0000, 0.9834], [0.5000, 0.5000, 0.2760], [0.0000, 0.0000, 0.5182], [0.5000, 0.5000, 0.7224]], "magmom_total_mub_per_atom": 0.547, "sg": "Cmm2 (35)", "crystal_system": "orthorhombic"}

***

Stability summary: most stable entry b, least stable entry a.

***

Entry a
{"formula": "Mg2MnW", "functional": "PBE", "state": "optimized geometry", "lattice_angstrom": [[3.1210, 0.0000, 0.0000], [0.0000, 4.3386, 0.0000], [0.0000, 0.0000, 4.7061]], "species": ["Mg", "Mg", "Mn", "W"], "frac_coords": [[0.0000, 0.0000, 0.0000], [0.5000, 0.5000, 0.0000], [0.5000, 0.0000, 0.5000], [0.0000, 0.5000, 0.5000]], "magmom_total_mub_per_atom": 0.238, "sg": "Pmmm (47)", "crystal_system": "orthorhombic"}

***

Entry b
{"formula": "Mg2MnW", "functional": "PBE", "state": "optimized geometry", "lattice_angstrom": [[-1.4677, 5.5503, 4.6000], [3.9195, -3.3254, 5.2631], [3.3838, 2.3611, 4.1134]], "species": ["Mg", "Mg", "Mg", "Mg", "Mn", "Mn", "W", "W"], "frac_coords": [[0.6063, 0.1250, 0.2500], [0.1437, 0.6250, 0.2500], [0.3750, 0.3937, 0.7500], [0.8750, 0.8563, 0.7500], [0.5000, 0.5000, 0.0000], [0.2500, 0.7500, 0.5000], [0.0000, 0.0000, 0.0000], [0.7500, 0.2500, 0.5000]], "magmom_total_mub_per_atom": 0.696, "sg": "I-42d (122)", "crystal_system": "tetragonal"}

***

Stability summary: most stable entry a, least stable entry b.

***

Entry a
{"formula": "MgMn3W", "functional": "PBE", "state": "optimized geometry", "lattice_angstrom": [[-3.1970, -2.2035, 2.5241], [1.8531, -4.0695, -1.2054], [2.7915, 0.1779, 3.6910]], "species": ["Mg", "Mn", "Mn", "Mn", "W"], "frac_coords": [[0.5000, 0.5000, 0.5000], [0.0000, 0.5000, 0.0000], [0.0000, 0.0000, 0.5000], [0.5000, 0.0000, 0.0000], [0.0000, 0.0000, 0.0000]], "magmom_total_mub_per_atom": 1.491, "sg": "Pm-3m (221)", "crystal_system": "cubic"}

***

Entry b
{"formula": "MgMn3W", "functional": "PBE", "state": "optimized geometry", "lattice_angstrom": [[-1.4569, 1.6003, 3.8081], [2.3255, -3.0196, 2.1586], [3.4139, 2.7398, 0.1547]], "species": ["Mg", "Mn", "Mn", "Mn", "W"], "frac_coords": [[0.0000, 0.0000, 0.0000], [0.0000, 0.5000, 0.0000], [0.0000, 0.0000, 0.5000], [0.5000, 0.0000, 0.0000], [0.5000, 0.5000, 0.5000]], "magmom_total_mub_per_atom": 1.325, "sg": "Pm-3m (221)", "crystal_system": "cubic"}

***

Stability summary: most stable entry a, least stable entry b.

***

Entry a
{"formula": "Mg6MnW", "functional": "PBE", "state": "optimized geometry", "lattice_angstrom": [[-3.8975, 0.4985, -4.8093], [-1.3740, -3.1879, 5.1496], [-1.8687, 3.9056, 1.9192]], "species": ["Mg", "Mg", "Mg", "Mg", "Mg", "Mg", "Mn", "W"], "frac_coords": [[0.1820, 0.3412, 0.0000], [0.6588, 0.8180, 0.0000], [0.6729, 0.3271, 0.0000], [0.3209, 0.1681, 0.5000], [0.8319, 0.6791, 0.5000], [0.8295, 0.1705, 0.5000], [0.1957, 0.8043, 0.0000], [0.3083, 0.6917, 0.5000]], "magmom_total_mub_per_atom": 0.278, "sg": "Amm2 (38)", "crystal_system": "orthorhombic"}

***

Entry b
{"formula": "Mg6MnW", "functional": "PBE", "state": "optimized geometry", "lattice_angstrom": [[2.9050, -5.4342, 0.0000], [2.9050, 5.4342, 0.0000], [0.0000, 0.0000, 4.8768]], "species": ["Mg", "Mg", "Mg", "Mg", "Mg", "Mg", "Mn", "W"], "frac_coords": [[0.8254, 0.6736, 0.5000], [0.3264, 0.1746, 0.5000], [0.6581, 0.8276, 0.0000], [0.1724, 0.3419, 0.0000], [0.6838, 0.3162, 0.0000], [0.1783, 0.8217, 0.0000], [0.8318, 0.1682, 0.5000], [0.3237, 0.6763, 0.5000]], "magmom_total_mub_per_atom": 0.316, "sg": "Amm2 (38)", "crystal_system": "orthorhombic"}

***

Stability summary: most stable entry a, least stable entry b.